## ZrN2ClF (PBE)

Data for ZrN2ClF after structural relaxation.

* energy above the lowest structure with this stoichiometry: 5.47 eV/f.u.
* magnetization: 0.0 Bohr magnetons per cell
* theoretical density: 4.72 Mg/m³
* ΔE_f (raw): 0.905 eV per atom

Cell: 3.968 3.968 3.883 Å, 90.00 90.00 90.00°
Space group P4/mmm (No. 123)
Unique sites:
Zr (0.000, 0.000, 0.000) (multiplicity 1)
N (0.000, 0.500, 0.500) (multiplicity 2)
Cl (0.500, 0.500, 0.500) (multiplicity 1)
F (0.500, 0.500, 0.000) (multiplicity 1)

## TbNdMn (PBE)

Data for TbNdMn after structural relaxation.

* energy above the lowest structure with this stoichiometry: 0.00 eV/f.u.
* magnetization: 5.7 Bohr magnetons per cell
* theoretical density: 7.25 Mg/m³
* formation energy from the elements: 59 kJ/mol of formula units

Cell: 3.562 3.562 12.926 Å, 90.00 90.00 90.00°
Space group I4mm (No. 107)
Unique sites:
Tb (0.000, 0.000, 0.000) (multiplicity 2)
Nd (0.000, 0.000, 0.727) (multiplicity 2)
Mn (0.000, 0.000, 0.369) (multiplicity 2)

## LiAg4Sb3S8 (PBE)

Data for LiAg4Sb3S8 after structural relaxation.

* magnetization: 0.0 Bohr magnetons per cell
* theoretical density: 5.45 Mg/m³
* ΔE_f (raw): -0.223 eV per atom

Cell: 7.6994 7.6994 18.8811 Å, 90.00 90.00 120.00°
Space group R-3m (No. 166, hexagonal axes)
Unique sites:
Li (0.0000, 0.0000, 0.0000) (multiplicity 3)
Ag (0.0000, 0.0000, 0.5000) (multiplicity 3)
Ag (0.0000, 0.5000, 0.5000) (multiplicity 9)
Sb (0.0000, 0.5000, 0.0000) (multiplicity 9)
S (0.0000, 0.0000, 0.2488) (multiplicity 6)
S (0.0048, 0.5024, 0.7472) (multiplicity 18)

## RbSnP2 (PBE)

Data for RbSnP2 after structural relaxation.

* magnetization: 3.4 Bohr magnetons per cell
* theoretical density: 3.58 Mg/m³
* formation energy from the elements: 14 kJ/mol of formula units

Cell: 7.775 7.775 8.158 Å, 90.00 90.00 90.00°
Space group I-42d (No. 122)
Unique sites:
Rb (0.000, 0.000, 0.000) (multiplicity 4)
Sn (0.000, 0.000, 0.500) (multiplicity 4)
P (0.166, 0.250, 0.625) (multiplicity 8)

## B2RuCl (PBE)

Data for B2RuCl after structural relaxation.

* energy above the lowest structure with this stoichiometry: 4.61 eV/f.u.
* magnetization: 2.9 Bohr magnetons per cell
* theoretical density: 5.86 Mg/m³
* ΔE_f (raw): 1.944 eV per atom

Cell: 5.639 5.639 5.639 Å, 90.00 90.00 90.00°
Space group Fm-3m (No. 225)
Unique sites:
B (0.250, 0.250, 0.250) (multiplicity 8)
Ru (0.000, 0.000, 0.000) (multiplicity 4)
Cl (0.000, 0.000, 0.500) (multiplicity 4)

## TlSi2Pd2 (PBE)

Data for TlSi2Pd2 after structural relaxation.

* energy above the lowest structure with this stoichiometry: 0.94 eV/f.u.
* magnetization: 0.0 Bohr magnetons per cell
* theoretical density: 9.00 Mg/m³
* ΔE_f (raw): -0.081 eV per atom

Cell: 7.790 7.790 2.879 Å, 90.00 90.00 90.00°
Space group P4/mbm (No. 127)
Unique sites:
Tl (0.000, 0.000, 0.000) (multiplicity 2)
Si (0.142, 0.358, 0.500) (multiplicity 4)
Pd (0.138, 0.638, 0.000) (multiplicity 4)

## AgTeS (PBE)

Data for AgTeS after structural relaxation.

* energy above the lowest structure with this stoichiometry: 0.28 eV/f.u.
* magnetization: 0.0 Bohr magnetons per cell
* theoretical density: 6.64 Mg/m³
* ΔE_f (raw): 0.155 eV per atom

Cell: 3.9390 3.9390 4.9786 Å, 90.00 90.00 120.00°
Space group P3m1 (No. 156)
Unique sites:
Ag (0.0000, 0.0000, 0.0000) (multiplicity 1)
Te (0.6667, 0.3333, 0.3383) (multiplicity 1)
S (0.3333, 0.6667, 0.7331) (multiplicity 1)

## Tb2NdY3Er6 (PBE)

Data for Tb2NdY3Er6 after structural relaxation.

* magnetization: 0.0 Bohr magnetons per cell
* theoretical density: 7.61 Mg/m³
* formation energy from the elements: 25 kJ/mol of formula units

Cell: 6.148 10.637 11.746 Å, 90.00 100.01 90.00°
Space group C2/m (No. 12)
Unique sites:
Tb (0.000, 0.167, 0.000) (multiplicity 4)
Nd (0.000, 0.500, 0.000) (multiplicity 2)
Y (0.000, 0.000, 0.500) (multiplicity 2)
Y (0.000, 0.333, 0.500) (multiplicity 4)
Er (0.249, 0.167, 0.750) (multiplicity 8)
Er (0.250, 0.000, 0.250) (multiplicity 4)

## Ce2FeN3 (PBE)

Data for Ce2FeN3 after structural relaxation.

* magnetization: 1.9 Bohr magnetons per cell
* theoretical density: 7.89 Mg/m³
* ΔE_f (raw): -1.197 eV per atom

Cell: 3.482 3.691 12.387 Å, 90.00 90.00 90.00°
Space group Immm (No. 71)
Unique sites:
Ce (0.000, 0.000, 0.145) (multiplicity 4)
Fe (0.000, 0.000, 0.500) (multiplicity 2)
N (0.000, 0.000, 0.335) (multiplicity 4)
N (0.000, 0.500, 0.500) (multiplicity 2)

## Pm5YCu6 (PBE)

Data for Pm5YCu6 after structural relaxation.

* magnetization: 0.0 Bohr magnetons per cell
* theoretical density: 7.37 Mg/m³
* formation energy from the elements: -204 kJ/mol of formula units

Cell: 15.925 7.056 5.048 Å, 90.00 108.35 90.00°
Space group C2/m (No. 12)
Unique sites:
Pm (0.000, 0.000, 0.000) (multiplicity 2)
Pm (0.166, 0.000, 0.666) (multiplicity 4)
Pm (0.167, 0.500, 0.666) (multiplicity 4)
Y (0.000, 0.500, 0.000) (multiplicity 2)
Cu (0.000, 0.258, 0.500) (multiplicity 4)
Cu (0.164, 0.254, 0.164) (multiplicity 8)

## Cd4Ag (PBE)

Data for Cd4Ag after structural relaxation.

* energy above the lowest structure with this stoichiometry: 0.96 eV/f.u.
* magnetization: 0.0 Bohr magnetons per cell
* theoretical density: 7.02 Mg/m³
* formation energy from the elements: 92 kJ/mol of formula units

Cell: 6.954 6.954 5.451 Å, 90.00 90.00 90.00°
Space group I4/mmm (No. 139)
Unique sites:
Cd (0.210, 0.210, 0.000) (multiplicity 8)
Ag (0.000, 0.000, 0.500) (multiplicity 2)

## InRe2Au (PBE)

Data for InRe2Au after structural relaxation.

* magnetization: 0.0 Bohr magnetons per cell
* theoretical density: 16.87 Mg/m³
* formation energy from the elements: 217 kJ/mol of formula units

Cell: 9.650 2.924 4.859 Å, 90.00 100.79 90.00°
Space group C2/m (No. 12)
Unique sites:
In (0.000, 0.000, 0.000) (multiplicity 2)
Re (0.249, 0.000, 0.747) (multiplicity 4)
Au (0.000, 0.500, 0.500) (multiplicity 2)